Y3Tm2Sc2 (PBE, relaxed); formation enthalpy at 0 K = 0.241 eV/atom; crystal system = cubic
1.0
-4.734 4.734 4.734
4.734 -4.734 4.734
4.734 4.734 -4.734
Y Tm Sc
6 4 4
Direct
0.180 0.750 0.930
0.250 0.570 0.320
0.320 0.250 0.570
0.570 0.320 0.250
0.750 0.930 0.180
0.930 0.180 0.750
0.000 0.801 0.500
0.500 0.000 0.801
0.699 0.699 0.699
0.801 0.500 0.000
0.000 0.394 0.500
0.106 0.106 0.106
0.394 0.500 0.000
0.500 0.000 0.394



Nd7Ho4Sc (PBE, relaxed); formation enthalpy at 0 K = 0.019 eV/atom; crystal system = triclinic
1.0
6.244 0.000 0.000
-0.002 7.262 0.000
-2.071 -0.009 8.713
Nd Ho Sc
7 4 1
Direct
0.000 0.000 0.000
0.219 0.500 0.666
0.228 0.000 0.663
0.500 0.254 0.000
0.500 0.746 0.000
0.772 0.000 0.337
0.781 0.500 0.334
0.275 0.254 0.330
0.276 0.746 0.330
0.724 0.254 0.670
0.725 0.746 0.670
0.000 0.500 0.000



YCr2Fe (PBE, relaxed); formation enthalpy at 0 K = 0.690 eV/atom; crystal system = tetragonal
1.0
4.038 0.000 0.000
0.000 4.038 0.000
0.000 0.000 4.154
Y Cr Fe
1 2 1
Direct
0.000 0.000 0.000
0.000 0.500 0.500
0.500 0.000 0.500
0.500 0.500 0.000



CoAgHg2 (PBE, relaxed); formation enthalpy at 0 K = 0.570 eV/atom; crystal system = tetragonal
1.0
-2.069 2.069 9.594
2.069 -2.069 9.594
2.069 2.069 -9.594
Co Ag Hg
2 2 4
Direct
0.000 0.000 0.000
0.750 0.250 0.500
0.250 0.750 0.500
0.500 0.500 0.000
0.114 0.625 0.989
0.375 0.364 0.489
0.636 0.125 0.011
0.875 0.886 0.511



BaCoRu2 (PBE, relaxed); formation enthalpy at 0 K = 0.326 eV/atom; crystal system = trigonal
1.0
2.126 1.228 5.832
-2.126 1.228 5.832
0.000 -2.455 5.832
Ba Co Ru
1 1 2
Direct
0.000 0.000 0.000
0.500 0.500 0.500
0.187 0.187 0.187
0.813 0.813 0.813



Y2PbSe2 (PBE, relaxed); energy relative to the elements, uncorrected = -1.134 eV per atom; crystal system = tetragonal
1.0
8.281 0.000 0.000
0.000 8.281 0.000
0.000 0.000 3.714
Y Pb Se
4 2 4
Direct
0.158 0.342 0.000
0.342 0.842 0.000
0.658 0.158 0.000
0.842 0.658 0.000
0.000 0.000 0.000
0.500 0.500 0.000
0.138 0.638 0.500
0.362 0.138 0.500
0.638 0.862 0.500
0.862 0.362 0.500



TmNpSn2 (PBE, relaxed); formation enthalpy at 0 K = 0.169 eV/atom; crystal system = trigonal
1.0
1.640 0.947 11.767
-1.640 0.947 11.767
0.000 -1.894 11.767
Tm Np Sn
1 1 2
Direct
0.000 0.000 0.000
0.500 0.500 0.500
0.088 0.088 0.088
0.912 0.912 0.912



LiVSe3 (PBE, relaxed); energy relative to the elements, uncorrected = -0.532 eV per atom; crystal system = tetragonal
1.0
4.693 0.000 0.000
0.000 4.693 0.000
0.000 0.000 6.168
Li V Se
1 1 3
Direct
0.000 0.000 0.000
0.500 0.500 0.663
0.000 0.500 0.800
0.500 0.000 0.800
0.500 0.500 0.311



La6Nd2Er3Mg (PBE, relaxed); formation enthalpy at 0 K = 0.010 eV/atom; crystal system = monoclinic
1.0
3.154 -5.465 0.000
3.154 5.465 0.000
-2.104 0.000 11.761
La Nd Er Mg
6 2 3 1
Direct
0.084 0.414 0.753
0.247 0.247 0.247
0.414 0.084 0.753
0.586 0.916 0.247
0.753 0.753 0.753
0.916 0.586 0.247
0.333 0.667 0.500
0.667 0.333 0.500
0.166 0.834 0.000
0.500 0.500 0.000
0.834 0.166 0.000
0.000 0.000 0.500



SnHg2PbAu (PBE, relaxed); formation enthalpy at 0 K = 0.229 eV/atom; crystal system = tetragonal
1.0
5.307 0.000 0.000
0.000 5.307 0.000
0.000 0.000 5.461
Sn Hg Pb Au
1 2 1 1
Direct
0.000 0.000 0.000
0.000 0.500 0.500
0.500 0.000 0.500
0.500 0.500 0.000
0.000 0.000 0.500



BaCuAu2 (PBE, relaxed); formation enthalpy at 0 K = -0.284 eV/atom; crystal system = orthorhombic
1.0
-2.230 3.017 3.931
2.230 -3.017 3.931
2.230 3.017 -3.931
Ba Cu Au
1 1 2
Direct
0.000 0.000 0.000
0.500 0.500 0.000
0.318 0.818 0.500
0.682 0.182 0.500



UGaTe (PBE, relaxed); energy relative to the elements, uncorrected = -0.024 eV per atom; crystal system = trigonal
1.0
4.867 0.000 0.000
-2.433 4.215 0.000
0.000 0.000 3.549
U Ga Te
1 1 1
Direct
0.000 0.000 0.000
0.667 0.333 0.501
0.333 0.667 0.500



Number 1: energy -5.616 eV per atom, spin magnetization 0.00 Bohr magnetons per cell. Number 2: energy -4.816 eV per atom, spin magnetization 0.00 Bohr magnetons per cell. Number 3: energy -7.854 eV per atom, spin magnetization 8.30 Bohr magnetons per cell. Number 4: energy -2.070 eV per atom, spin magnetization 3.00 Bohr magnetons per cell. Number 5: energy -6.569 eV per atom, spin magnetization 1.32 Bohr magnetons per cell. Number 6: energy -5.855 eV per atom, spin magnetization 0.00 Bohr magnetons per cell. Number 7: energy -6.185 eV per atom, spin magnetization 4.09 Bohr magnetons per cell. Number 8: energy -4.829 eV per atom, spin magnetization 0.35 Bohr magnetons per cell. Number 9: energy -4.522 eV per atom, spin magnetization 0.00 Bohr magnetons per cell. Number 10: energy -2.089 eV per atom, spin magnetization 0.00 Bohr magnetons per cell. Number 11: energy -3.428 eV per atom, spin magnetization 0.00 Bohr magnetons per cell. Number 12: energy -5.843 eV per atom, spin magnetization 3.03 Bohr magnetons per cell.